The following is a GGA-PBE calculation of a relaxed LuPaIn crystal, from Alexandria.

Properties
E   -0.4018 Ry/atom
Relative energy among the computed polymorphs   0.1774 eV per atom
M_tot   1.532 Bohr magnetons per cell

Structure (CIF):
```
data_LuPaIn
_chemical_formula_sum 'Lu1 Pa1 In1'
_space_group_name_H-M_alt 'P 3 m 1'
_space_group_IT_number 156
_cell_length_a 5.3107
_cell_length_b 5.3107
_cell_length_c 3.2414
_cell_angle_alpha 90.00
_cell_angle_beta 90.00
_cell_angle_gamma 120.00
loop_
_space_group_symop_operation_xyz
'x,y,z'
'-y,x-y,z'
'-x+y,-x,z'
'-y,-x,z'
'-x+y,y,z'
'x,x-y,z'
loop_
_atom_site_label
_atom_site_fract_x
_atom_site_fract_y
_atom_site_fract_z
_atom_site_occupancy
Lu1 0.0000 0.0000 0.0000 1
Pa1 0.6667 0.3333 0.4520 1
In1 0.3333 0.6667 0.8242 1
```


The following is a GGA-PBE calculation of a relaxed VCu2Pd8 crystal, from Alexandria.

Properties
E   -0.4041 Ry/atom
Relative energy among the computed polymorphs   0.0000 eV per atom
M_tot   1.038 Bohr magnetons per cell

Structure (CIF):
```
data_VCu2Pd8
_chemical_formula_sum 'V2 Cu4 Pd16'
_space_group_name_H-M_alt 'C 1 2/m 1'
_space_group_IT_number 12
_cell_length_a 13.854
_cell_length_b 3.944
_cell_length_c 6.133
_cell_angle_alpha 90.00
_cell_angle_beta 105.95
_cell_angle_gamma 90.00
loop_
_space_group_symop_operation_xyz
'x,y,z'
'-x,-y,-z'
'-x,y,-z'
'x,-y,z'
'x+1/2,y+1/2,z'
'-x+1/2,-y+1/2,-z'
'-x+1/2,y+1/2,-z'
'x+1/2,-y+1/2,z'
loop_
_atom_site_label
_atom_site_fract_x
_atom_site_fract_y
_atom_site_fract_z
_atom_site_occupancy
V1 0.000 0.000 0.000 1
Cu1 0.226 0.500 0.635 1
Pd1 0.045 0.500 0.732 1
Pd2 0.095 0.000 0.451 1
Pd3 0.137 0.500 0.184 1
Pd4 0.180 0.000 0.915 1
```


The following is a GGA-PBE calculation of a relaxed Na4VS5 crystal, from Alexandria.

Properties
E   -0.3210 Ry/atom
Uncorrected formation energy   -83.44 kJ per mole of atoms
M_tot   1.952 Bohr magnetons per cell

Structure (CIF):
```
data_Na4VS5
_chemical_formula_sum 'Na8 V2 S10'
_space_group_name_H-M_alt 'I 4'
_space_group_IT_number 79
_cell_length_a 8.706
_cell_length_b 8.706
_cell_length_c 5.862
_cell_angle_alpha 90.00
_cell_angle_beta 90.00
_cell_angle_gamma 90.00
loop_
_space_group_symop_operation_xyz
'x,y,z'
'-y,x,z'
'-x,-y,z'
'y,-x,z'
'x+1/2,y+1/2,z+1/2'
'-y+1/2,x+1/2,z+1/2'
'-x+1/2,-y+1/2,z+1/2'
'y+1/2,-x+1/2,z+1/2'
loop_
_atom_site_label
_atom_site_fract_x
_atom_site_fract_y
_atom_site_fract_z
_atom_site_occupancy
Na1 0.090 0.700 0.000 1
V1 0.000 0.000 0.593 1
S1 0.000 0.000 0.959 1
S2 0.077 0.755 0.492 1
```


The following is a GGA-PBE calculation of a relaxed Nd3Pd2Ru crystal, from Alexandria.

Properties
E   -0.4569 Ry/atom
M_tot   0.000 Bohr magnetons per cell

Structure (CIF):
```
data_Nd3Pd2Ru
_chemical_formula_sum 'Nd12 Pd8 Ru4'
_space_group_name_H-M_alt 'C m m m'
_space_group_IT_number 65
_space_group_name_Hall '-C 2 2'
_cell_length_a 5.058
_cell_length_b 15.088
_cell_length_c 7.257
_cell_angle_alpha 90.00
_cell_angle_beta 90.00
_cell_angle_gamma 90.00
loop_
_atom_site_label
_atom_site_fract_x
_atom_site_fract_y
_atom_site_fract_z
_atom_site_occupancy
Nd1 0.000 0.000 0.243 1
Nd2 0.000 0.331 0.241 1
Pd1 0.000 0.166 0.500 1
Pd2 0.000 0.500 0.000 1
Pd3 0.000 0.500 0.500 1
Ru1 0.000 0.166 0.000 1
```


The following is a GGA-PBE calculation of a relaxed ZrInIN2 crystal, from Alexandria.

Properties
E   -0.3300 Ry/atom
Relative energy among the computed polymorphs   1.1053 eV per atom
Uncorrected formation energy   135.82 kJ per mole of atoms
M_tot   0.003 Bohr magnetons per cell

Structure (CIF):
```
data_ZrInIN2
_chemical_formula_sum 'Zr1 In1 I1 N2'
_space_group_name_H-M_alt 'P 4/m m m'
_space_group_IT_number 123
_space_group_name_Hall '-P 4 2'
_cell_length_a 4.335
_cell_length_b 4.335
_cell_length_c 5.599
_cell_angle_alpha 90.00
_cell_angle_beta 90.00
_cell_angle_gamma 90.00
loop_
_atom_site_label
_atom_site_fract_x
_atom_site_fract_y
_atom_site_fract_z
_atom_site_occupancy
Zr1 0.000 0.000 0.000 1
In1 0.500 0.500 0.500 1
I1 0.500 0.500 0.000 1
N1 0.000 0.500 0.500 1
```


The following is a GGA-PBE calculation of a relaxed K3Rb2Na8 crystal, from Alexandria.

Properties
E   -0.0852 Ry/atom
M_tot   0.000 Bohr magnetons per cell

Structure (CIF):
```
data_K3Rb2Na8
_chemical_formula_sum 'K9 Rb6 Na24'
_space_group_name_H-M_alt 'R -3 m'
_space_group_IT_number 166
_space_group_name_Hall '-R 3 2"'
_cell_length_a 7.3198
_cell_length_b 7.3198
_cell_length_c 45.6392
_cell_angle_alpha 90.00
_cell_angle_beta 90.00
_cell_angle_gamma 120.00
loop_
_atom_site_label
_atom_site_fract_x
_atom_site_fract_y
_atom_site_fract_z
_atom_site_occupancy
K1 0.0000 0.0000 0.0000 1
K2 0.0000 0.0000 0.1823 1
Rb1 0.0000 0.0000 0.3598 1
Na1 0.0000 0.0000 0.2678 1
Na2 0.0053 0.5027 0.7678 1
```


The following is a GGA-PBE calculation of a relaxed YTmTh3 crystal, from Alexandria.

Properties
E   -0.4620 Ry/atom
Relative energy among the computed polymorphs   0.0000 eV per atom
M_tot   0.000 Bohr magnetons per cell

Structure (CIF):
```
data_YTmTh3
_chemical_formula_sum 'Y2 Tm2 Th6'
_space_group_name_H-M_alt 'C 1 2 1'
_space_group_IT_number 5
_cell_length_a 6.910
_cell_length_b 16.615
_cell_length_c 3.522
_cell_angle_alpha 90.00
_cell_angle_beta 119.94
_cell_angle_gamma 90.00
loop_
_space_group_symop_operation_xyz
'x,y,z'
'-x,y,-z'
'x+1/2,y+1/2,z'
'-x+1/2,y+1/2,-z'
loop_
_atom_site_label
_atom_site_fract_x
_atom_site_fract_y
_atom_site_fract_z
_atom_site_occupancy
Y1 0.000 0.000 0.000 1
Tm1 0.000 0.621 0.500 1
Th1 0.000 0.172 0.500 1
Th2 0.243 0.829 0.945 1
```


The following is a GGA-PBE calculation of a relaxed Ce6SiBi2 crystal, from Alexandria.

Properties
E   -0.4352 Ry/atom
Uncorrected formation energy   -48.34 kJ per mole of atoms
M_tot   13.631 Bohr magnetons per cell

Structure (CIF):
```
data_Ce6SiBi2
_chemical_formula_sum 'Ce12 Si2 Bi4'
_space_group_name_H-M_alt 'A m m 2'
_space_group_IT_number 38
_cell_length_a 4.254
_cell_length_b 14.516
_cell_length_c 8.509
_cell_angle_alpha 90.00
_cell_angle_beta 90.00
_cell_angle_gamma 90.00
loop_
_space_group_symop_operation_xyz
'x,y,z'
'-x,-y,z'
'-x,y,z'
'x,-y,z'
'x,y+1/2,z+1/2'
'-x,-y+1/2,z+1/2'
'-x,y+1/2,z+1/2'
'x,-y+1/2,z+1/2'
loop_
_atom_site_label
_atom_site_fract_x
_atom_site_fract_y
_atom_site_fract_z
_atom_site_occupancy
Ce1 0.000 0.000 0.000 1
Ce2 0.000 0.094 0.574 1
Ce3 0.500 0.000 0.244 1
Ce4 0.500 0.193 0.913 1
Si1 0.500 0.000 0.758 1
Bi1 0.000 0.186 0.210 1
```